[1]
DFT (PBEsol) results for a geometry-optimized InMoRh2 structure.

Lattice parameters (Å, degrees): 2.842 2.842 7.514 90.00 90.00 90.00
Fractional positions:
In (0.000, 0.000, 0.000)
Mo (0.000, 0.000, 0.500)
Rh (0.500, 0.500, 0.263)
Rh (0.500, 0.500, 0.737)

As for the crystal system: tetragonal. The total magnetic moment is 0.0 Bohr magnetons per cell. Its density of states at the Fermi level is 2.1 states/eV per cell. The total energy is -8.03 eV per atom. Its space group is P4/mmm (123). The energy of formation is -0.28 eV/atom.

=====

[2]
DFT (PBEsol) results for a geometry-optimized InMoRh2 structure.

Lattice parameters (Å, degrees): 4.079 4.079 3.706 90.00 90.00 90.00
Fractional positions:
In (0.000, 0.000, 0.000)
Mo (0.500, 0.500, 0.000)
Rh (0.000, 0.500, 0.500)
Rh (0.500, 0.000, 0.500)

As for the crystal system: tetragonal. The total magnetic moment is 1.6 Bohr magnetons per cell. Its density of states at the Fermi level is 5.3 states/eV per cell. The total energy is -7.68 eV per atom. Its space group is P4/mmm (123). The energy of formation is 0.08 eV/atom.